Here is a geometry-optimized CaTb4Ag5 structure from Alexandria. Energies are from PBE-GGA.

The structure in POSCAR format:
```
CaTb4Ag5
1.0
3.637 0.000 0.000
0.000 3.637 0.000
0.000 0.000 18.578
Ca Tb Ag
1 4 5
Direct
0.000 0.000 0.000
0.000 0.000 0.201
0.000 0.000 0.401
0.000 0.000 0.599
0.000 0.000 0.799
0.500 0.500 0.108
0.500 0.500 0.301
0.500 0.500 0.500
0.500 0.500 0.699
0.500 0.500 0.892
```

**M_tot**: 0.00 μB per formula unit
**Electronic total energy**: -3.79 eV per atom
**Space-group type**: P4/mmm (123)
**DFT formation energy**: -0.317 eV per atom